Compound: PaZnPt2O8
Source: Alexandria via LeMat-Bulk
Functional: PBE
Structure: optimized geometry

Properties
The total moment is 0.000 μB/f.u. The calculation puts the raw formation energy at -1305 kJ/mol of formula units. For the uncorrected energy, the calculation gives -6.337 eV per atom. The calculated volume comes out at 328 Å³/cell.

Cell and atoms, written as CIF:
```
data_PaZnPt2O8
_chemical_formula_sum 'Pa2 Zn2 Pt4 O16'
_symmetry_space_group_name_H-M 'I -4 m 2'
_symmetry_Int_Tables_number 119
_symmetry_space_group_name_Hall 'I -4 -2'
_cell_length_a 6.898
_cell_length_b 6.898
_cell_length_c 6.897
_cell_angle_alpha 90.00
_cell_angle_beta 90.00
_cell_angle_gamma 90.00
loop_
_atom_site_label
_atom_site_fract_x
_atom_site_fract_y
_atom_site_fract_z
Pa1 0.000 0.000 0.000
Zn1 0.000 0.500 0.750
Pt1 0.000 0.000 0.500
Pt2 0.000 0.500 0.250
O1 0.000 0.178 0.716
O2 0.000 0.325 0.032
```